*i*
DFT (PBE) results for crystalline CuReIr2 at its relaxed geometry.

Structure (POSCAR):
```
CuReIr2
1.0
4.6538 -0.0130 0.0000
1.4553 4.4204 0.0000
-3.0546 -2.2037 2.7334
Cu Ir Re
1 2 1
direct
0.7500 0.2500 0.5000
0.0000 0.0000 0.0000
0.5000 0.5000 0.0000
0.2500 0.7500 0.5000
```

*ii*
DFT (PBE) results for crystalline CuReIr2 at its relaxed geometry.

Structure (POSCAR):
```
CuReIr2
1.0
8.8200 -0.0134 -0.0079
8.3947 2.7060 -0.0079
8.3947 1.3130 2.3661
Cu Ir Re
1 2 1
direct
0.7500 0.7500 0.7500
0.0002 0.0002 0.0002
0.4998 0.4998 0.4998
0.2500 0.2500 0.2500
```

Stability, descending: *ii*, *i*

*i*
DFT (PBE) results for crystalline CuReIr2 at its relaxed geometry.

Structure (POSCAR):
```
CuReIr2
1.0
4.6776 -0.0076 0.0000
-1.4501 4.4471 0.0000
0.0000 0.0000 2.7315
Cu Ir Re
1 2 1
direct
0.0000 0.5000 0.5000
0.0000 0.0000 0.0000
0.5000 0.5000 0.0000
0.5000 0.0000 0.5000
```

*ii*
DFT (PBE) results for crystalline CuReIr2 at its relaxed geometry.

Structure (POSCAR):
```
CuReIr2
1.0
3.8836 0.0000 0.0000
0.0000 2.7438 0.0133
0.0000 2.7258 5.3177
Cu Ir Re
1 2 1
direct
0.5000 0.7440 0.7561
0.0000 0.0225 0.9788
0.5000 0.2336 0.2660
0.0000 0.4999 0.4991
```

*iii*
DFT (PBE) results for crystalline CuReIr2 at its relaxed geometry.

Structure (POSCAR):
```
CuReIr2
1.0
-1.4055 5.0006 0.3380
-3.5192 1.8723 -3.3475
1.1531 -3.3722 3.7940
Cu Ir Re
1 2 1
direct
0.2520 0.7520 0.5000
0.0173 0.0173 0.0000
0.7431 0.2431 0.5000
0.4876 0.4876 0.0000
```

*iv*
DFT (PBE) results for crystalline CuReIr2 at its relaxed geometry.

Structure (POSCAR):
```
CuReIr2
1.0
4.7862 -0.0003 0.0000
1.8248 4.4247 0.0000
-3.3055 -2.2122 2.6622
Cu Ir Re
1 2 1
direct
0.7500 0.2500 0.5000
0.0000 0.0000 0.0000
0.2500 0.7500 0.5000
0.5000 0.5000 0.0000
```

Stability, descending: *ii*, *i*, *iv*, *iii*

*i*
DFT (PBE) results for crystalline CuReIr2 at its relaxed geometry.

Structure (POSCAR):
```
CuReIr2
1.0
-0.2108 -0.1381 -2.7165
0.3893 -2.6981 0.1069
-7.4607 -1.0514 0.6324
Cu Ir Re
1 2 1
direct
0.5000 0.5000 0.7518
0.0000 0.0000 0.9917
0.5000 0.5000 0.2529
0.0000 0.0000 0.5036
```

*ii*
DFT (PBE) results for crystalline CuReIr2 at its relaxed geometry.

Structure (POSCAR):
```
CuReIr2
1.0
-1.0920 2.4768 -0.0592
-1.3169 -2.0144 -1.2402
-4.4636 -1.7853 7.6394
Cu Ir Re
1 2 1
direct
0.5000 0.5000 0.7500
0.0000 0.0000 0.9978
0.0000 0.0000 0.5022
0.5000 0.5000 0.2500
```

*iii*
DFT (PBE) results for crystalline CuReIr2 at its relaxed geometry.

Structure (POSCAR):
```
CuReIr2
1.0
2.0596 -1.2268 3.6150
0.9904 2.9368 3.0348
-2.1001 -0.0104 3.7954
Re Ir Cu
1 2 1
direct
0.5000 0.5000 0.5000
0.2500 0.2500 0.2500
0.7500 0.7500 0.7500
0.0000 0.0000 0.0000
```

*iv*
DFT (PBE) results for crystalline CuReIr2 at its relaxed geometry.

Structure (POSCAR):
```
CuReIr2
1.0
2.6853 0.0145 0.0000
-1.2912 2.3546 0.0000
0.0000 0.0000 9.1777
Cu Ir Re
1 2 1
direct
0.5000 0.5000 0.7503
0.0000 0.0000 0.9930
0.5000 0.5000 0.2538
0.0000 0.0000 0.5029
```

Stability, descending: *i*, *ii*, *iii*, *iv*

*i*
DFT (PBE) results for crystalline CuReIr2 at its relaxed geometry.

Structure (POSCAR):
```
CuReIr2
1.0
4.7165 -0.0003 0.0046
3.9261 2.6137 0.0046
0.7569 0.2289 4.6128
Cu Ir Re
1 2 1
direct
0.2529 0.2529 0.2392
0.0060 0.0060 0.0193
0.7473 0.7473 0.7283
0.4938 0.4938 0.5133
```

*ii*
DFT (PBE) results for crystalline CuReIr2 at its relaxed geometry.

Structure (POSCAR):
```
CuReIr2
1.0
-0.0364 -1.6952 2.1990
0.4679 -2.1715 -1.6662
7.2092 0.9185 0.8275
Re Ir Cu
1 2 1
direct
0.5000 0.5000 0.2500
0.0000 0.0000 0.9996
0.0000 0.0000 0.5004
0.5000 0.5000 0.7500
```

*iii*
DFT (PBE) results for crystalline CuReIr2 at its relaxed geometry.

Structure (POSCAR):
```
CuReIr2
1.0
2.7447 0.0000 0.0000
0.0000 4.6367 0.0000
0.0000 0.0000 4.5206
Cu Ir Re
1 2 1
direct
0.0000 0.5000 0.5000
0.0000 0.0000 0.0000
0.5000 0.5000 0.0000
0.5000 0.0000 0.5000
```

*iv*
DFT (PBE) results for crystalline CuReIr2 at its relaxed geometry.

Structure (POSCAR):
```
CuReIr2
1.0
-0.2570 2.3118 2.9115
-3.4942 -1.4948 0.8785
1.7128 -2.6693 2.2707
Cu Ir Re
1 2 1
direct
0.5000 0.0000 0.5000
0.0000 0.0000 0.0000
0.0000 0.5000 0.5000
0.5000 0.5000 0.0000
```

Stability, descending: *ii*, *i*, *iv*, *iii*